VASP calculation (PBE-GGA) on an optimized crystal structure of Er2Hg3Au.

Formation enthalpy at 0 K   -2.82 eV per formula unit
E   -16.1 eV per formula unit
DOS at the Fermi energy   0.56 states/eV per atom

Cell: 3.3941 4.8777 8.4332 Å, 90.00 90.00 90.00°
Closest atoms and distances in Å follow each position.
Atoms (fractional coordinates):
Hg (0.5000, 0.5000, 0.6640)  1 Au 2.79, 2 Hg 2.82
Hg (0.5000, 0.0000, 0.1673)  2 Au 2.81, 1 Hg 2.83
Hg (0.5000, 0.0000, 0.8317)  3 Hg 2.82-2.83
Au (0.5000, 0.5000, 0.3328)  3 Hg 2.79-2.81
Er (0.0000, 0.0000, 0.4857)  8 Hg 3.18-3.38, 4 Au 3.24, 2 Er 3.39
Er (0.0000, 0.5000, 0.0184)  2 Au 3.15, 10 Hg 3.23-3.44, 2 Er 3.39

VASP calculation (PBE-GGA) on an optimized crystal structure of ErHgAu.

Formation enthalpy at 0 K   -1.53 eV per formula unit
E   -9.7 eV per formula unit
DOS at the Fermi energy   1.02 states/eV per atom

Cell: 4.7734 4.7734 4.7734 Å, 60.00 60.00 60.00°
Closest atoms and distances in Å follow each position.
Atoms (fractional coordinates):
Hg (0.5000, 0.5000, 0.5000)  4 Au 2.92
Er (0.0000, 0.0000, 0.0000)  4 Au 2.92
Au (0.2500, 0.2500, 0.2500)  4 Hg 2.92, 4 Er 2.92

Which value of E does entry 2 give? -9.7 eV per formula unit

Look up the E of the first one. -16.1 eV per formula unit

Among the records above, which one has the lowest E? Er2Hg3Au